1.
A plane-wave DFT calculation with PBE-GGA was carried out for crystalline NaYNiOs2 at its relaxed geometry.

VASP energy: -6.1584 eV/atom
DOS at the Fermi energy: 1.239 states/eV per atom
Magnetic moment: 1.89 μB/cell
ΔH_f (0 K): 101.0 kJ per mole of atoms

Cell lengths 4.5906, 4.9522, 4.5906 Å; angles 90.00, 90.00, 90.00 degrees
Closest atoms and distances in Å follow each position.
Fractional positions:
Na  0.5000  0.5000  0.5000  4 Y 3.25, 8 Os 3.38
Y  0.0000  0.5000  0.0000  2 Ni 2.48
Ni  0.0000  0.0000  0.0000  4 Os 2.30, 2 Y 2.48
Os  0.0000  0.0000  0.5000  2 Ni 2.30
Os  0.5000  0.0000  0.0000  2 Ni 2.30



2.
A plane-wave DFT calculation with PBE-GGA was carried out for crystalline TlGaAg2 at its relaxed geometry.

VASP energy: -2.6591 eV/atom
Energy above the lowest structure with this stoichiometry: 22 meV per atom
DOS at the Fermi energy: 0.514 states/eV per atom
Magnetic moment: 0.00 μB/cell
ΔH_f (0 K): 11.1 kJ per mole of atoms

Cell lengths 3.2460, 3.2460, 9.3009 Å; angles 79.95, 79.95, 60.00 degrees
Closest atoms and distances in Å follow each position.
Fractional positions:
Ag  0.2590  0.2590  0.2230  3 Ga 2.76
Ag  0.7410  0.7410  0.7770  3 Ga 2.76
Tl  0.5000  0.5000  0.5000  6 Ag 3.14, 6 Tl 3.25
Ga  0.0000  0.0000  0.0000  6 Ag 2.76



3.
A plane-wave DFT calculation with PBE-GGA was carried out for crystalline AlTl2B at its relaxed geometry.

VASP energy: -2.8523 eV/atom
Energy above the lowest structure with this stoichiometry: 0 meV per atom
DOS at the Fermi energy: 0.275 states/eV per atom
Magnetic moment: 0.00 μB/cell
ΔH_f (0 K): 90.3 kJ per mole of atoms

Cell lengths 6.4176, 6.4176, 6.7172 Å; angles 61.46, 61.46, 90.00 degrees
Closest atoms and distances in Å follow each position.
Fractional positions:
Tl  0.5441  0.1250  0.2500  2 B 2.30
Tl  0.8750  0.7941  0.7500  2 B 2.30
Tl  0.2059  0.6250  0.2500  2 B 2.30
Tl  0.3750  0.4559  0.7500  2 B 2.30
Al  0.7500  0.2500  0.5000  4 Tl 2.94
Al  0.0000  0.0000  0.0000  4 Tl 2.94
B  0.5000  0.5000  0.0000  4 Tl 2.30
B  0.2500  0.7500  0.5000  4 Tl 2.30



4.
A plane-wave DFT calculation with PBE-GGA was carried out for crystalline BaCdIn2Sn at its relaxed geometry.

VASP energy: -2.8289 eV/atom
DOS at the Fermi energy: 0.297 states/eV per atom
Magnetic moment: 0.00 μB/cell
ΔH_f (0 K): -35.3 kJ per mole of atoms

Cell lengths 5.0327, 5.0300, 7.0588 Å; angles 110.79, 110.88, 90.00 degrees
Closest atoms and distances in Å follow each position.
Fractional positions:
In  0.0632  0.0632  0.1264  1 Sn 2.88, 2 Cd 2.95, 2 In 2.96
In  0.6909  0.1912  0.3818  2 In 2.96, 2 Sn 3.01
Cd  0.1895  0.6895  0.3789  2 In 2.95, 2 Sn 3.02
Ba  0.4415  0.4415  0.8831  4 Sn 3.82, 8 In 3.85-3.96, 4 Cd 3.93-3.98
Sn  0.8270  0.8268  0.6540  3 In 2.88-3.01, 2 Cd 3.02